1.
Below is a relaxed La2GeIr2 crystal, with properties calculated at the PBE level.

Computed properties:
- SG = I4/mmm (139)
- energy relative to the elements (eV/atom) = -0.5896

a b c (Å): 5.548 5.548 5.548
angles (deg): 117.68 117.68 94.06
Atoms (fractional coordinates):
La1 0.250 0.750 0.500
La2 0.750 0.250 0.500
Ge1 0.000 0.000 0.000
Ir1 0.323 0.323 0.000
Ir2 0.677 0.677 0.000

=====

2.
Below is a relaxed Ba3SrNi crystal, with properties calculated at the PBE level.

Computed properties:
- SG = Cc (9)
- E above lowest polymorph (meV per atom) = 0
- energy relative to the elements (eV/atom) = -0.0097

a b c (Å): 9.872 9.872 7.791
angles (deg): 104.66 104.66 126.73
Atoms (fractional coordinates):
Ba1 0.064 0.936 0.500
Ba2 0.199 0.814 0.022
Ba3 0.305 0.681 0.480
Ba4 0.681 0.305 0.980
Ba5 0.814 0.199 0.522
Ba6 0.936 0.064 0.000
Sr1 0.424 0.554 0.002
Sr2 0.554 0.424 0.502
Ni1 0.064 0.430 0.001
Ni2 0.430 0.064 0.501

=====

3.
Below is a relaxed RbCuAs crystal, with properties calculated at the PBE level.

Computed properties:
- SG = P4/nmm (129)
- E above lowest polymorph (meV per atom) = 8
- energy relative to the elements (eV/atom) = -0.1962

a b c (Å): 4.259 4.259 10.088
angles (deg): 90.00 90.00 90.00
Atoms (fractional coordinates):
Rb1 0.250 0.250 0.209
Rb2 0.750 0.750 0.791
Cu1 0.250 0.750 0.500
Cu2 0.750 0.250 0.500
As1 0.250 0.250 0.625
As2 0.750 0.750 0.375

=====

4.
Below is a relaxed CaZnGe4O12 crystal, with properties calculated at the PBE level.

Computed properties:
- SG = Amm2 (38)

a b c (Å): 7.519 5.221 5.221
angles (deg): 93.81 90.00 90.00
Atoms (fractional coordinates):
Ca1 0.000 0.000 0.000
Zn1 0.500 0.423 0.423
Ge1 0.260 0.475 0.937
Ge2 0.260 0.937 0.475
Ge3 0.740 0.475 0.937
Ge4 0.740 0.937 0.475
O1 0.000 0.505 0.915
O2 0.000 0.915 0.505
O3 0.220 0.247 0.247
O4 0.239 0.153 0.769
O5 0.239 0.769 0.153
O6 0.309 0.631 0.631
O7 0.500 0.040 0.447
O8 0.500 0.447 0.040
O9 0.691 0.631 0.631
O10 0.761 0.153 0.769
O11 0.761 0.769 0.153
O12 0.780 0.247 0.247

=====

5.
Below is a relaxed ScTeAsBr2 crystal, with properties calculated at the PBE level.

Computed properties:
- SG = P4/mmm (123)
- E above lowest polymorph (meV per atom) = 0

a b c (Å): 5.048 5.048 5.827
angles (deg): 90.00 90.00 90.00
Atoms (fractional coordinates):
Sc1 0.000 0.000 0.000
Te1 0.500 0.500 0.500
As1 0.000 0.000 0.500
Br1 0.000 0.500 0.000
Br2 0.500 0.000 0.000

=====

6.
Below is a relaxed RbPm2C2N6 crystal, with properties calculated at the PBE level.

Computed properties:
- SG = C2/m (12)

a b c (Å): 6.097 6.097 6.305
angles (deg): 110.08 110.08 62.23
Atoms (fractional coordinates):
Rb1 0.000 0.000 0.000
Pm1 0.329 0.329 0.701
Pm2 0.671 0.671 0.299
C1 0.337 0.337 0.249
C2 0.663 0.663 0.751
N1 0.112 0.471 0.312
N2 0.422 0.422 0.137
N3 0.471 0.112 0.312
N4 0.529 0.888 0.688
N5 0.578 0.578 0.863
N6 0.888 0.529 0.688

=====

| no. | E_tot (eV for the cell shown) |
| --- | --- |
| 1 | -35.1 |
| 2 | -26.6 |
| 3 | -20.6 |
| 4 | -103.7 |
| 5 | -19.7 |
| 6 | -82.7 |